# NaBeSb3 (PBE, relaxed)
# - E_form (uncorrected): 0.26 eV per atom
# - Energy above the most stable polymorph in this dataset: 0.000 eV per atom
data_NaBeSb3
_chemical_formula_sum 'Na1 Be1 Sb3'
_cell_length_a 5.066
_cell_length_b 5.066
_cell_length_c 5.066
_cell_angle_alpha 90.00
_cell_angle_beta 90.00
_cell_angle_gamma 90.00
_space_group_name_H-M_alt 'P m -3 m'
_space_group_IT_number 221
_space_group_name_Hall '-P 4 2 3'
loop_
_atom_site_label
_atom_site_fract_x
_atom_site_fract_y
_atom_site_fract_z
Na1 0.000 0.000 0.000
Be1 0.500 0.500 0.500
Sb1 0.000 0.500 0.500

***

# Sr2ZrTe2O2 (PBE, relaxed)
# - E_form (uncorrected): -2.24 eV per atom
data_Sr2ZrTe2O2
_chemical_formula_sum 'Sr4 Zr2 Te4 O4'
_cell_length_a 4.355
_cell_length_b 4.355
_cell_length_c 17.502
_cell_angle_alpha 90.00
_cell_angle_beta 90.00
_cell_angle_gamma 90.00
_space_group_name_H-M_alt 'I 4/m m m'
_space_group_IT_number 139
_space_group_name_Hall '-I 4 2'
loop_
_atom_site_label
_atom_site_fract_x
_atom_site_fract_y
_atom_site_fract_z
Sr1 0.000 0.000 0.111
Zr1 0.000 0.000 0.500
Te1 0.000 0.000 0.330
O1 0.000 0.500 0.000

***

# SrUS2 (PBE, relaxed)
# - E_form (uncorrected): -1.59 eV per atom
# - Energy above the most stable polymorph in this dataset: 0.000 eV per atom
data_SrUS2
_chemical_formula_sum 'Sr3 U3 S6'
_cell_length_a 3.9883
_cell_length_b 3.9883
_cell_length_c 20.7825
_cell_angle_alpha 90.00
_cell_angle_beta 90.00
_cell_angle_gamma 120.00
_space_group_name_H-M_alt 'R -3 m'
_space_group_IT_number 166
_space_group_name_Hall '-R 3 2"'
loop_
_atom_site_label
_atom_site_fract_x
_atom_site_fract_y
_atom_site_fract_z
Sr1 0.0000 0.0000 0.0000
U1 0.0000 0.0000 0.5000
S1 0.0000 0.0000 0.2440

***

# RbLiNpTe3 (PBE, relaxed)
# - E_form (uncorrected): -0.87 eV per atom
data_RbLiNpTe3
_chemical_formula_sum 'Rb2 Li2 Np2 Te6'
_cell_length_a 9.836
_cell_length_b 4.545
_cell_length_c 10.487
_cell_angle_alpha 90.00
_cell_angle_beta 108.78
_cell_angle_gamma 90.00
_space_group_name_H-M_alt 'P 1 21/m 1'
_space_group_IT_number 11
loop_
_space_group_symop_operation_xyz
'x,y,z'
'-x,-y,-z'
'-x,y+1/2,-z'
'x,-y+1/2,z'
loop_
_atom_site_label
_atom_site_fract_x
_atom_site_fract_y
_atom_site_fract_z
Rb1 0.211 0.250 0.257
Li1 0.081 0.250 0.598
Np1 0.321 0.750 0.848
Te1 0.122 0.250 0.873
Te2 0.216 0.750 0.547
Te3 0.468 0.750 0.157

***

# Np6PaN12 (PBE, relaxed)
# - E_form (uncorrected): -1.17 eV per atom
data_Np6PaN12
_chemical_formula_sum 'Np18 Pa3 N36'
_cell_length_a 9.9651
_cell_length_b 9.9651
_cell_length_c 9.0808
_cell_angle_alpha 90.00
_cell_angle_beta 90.00
_cell_angle_gamma 120.00
_space_group_name_H-M_alt 'R -3'
_space_group_IT_number 148
_space_group_name_Hall '-R 3'
loop_
_atom_site_label
_atom_site_fract_x
_atom_site_fract_y
_atom_site_fract_z
Np1 0.0462 0.7920 0.1554
Pa1 0.0000 0.0000 0.5000
N1 0.0341 0.8106 0.9000
N2 0.0395 0.8193 0.3947

***

# NdDyHg (PBE, relaxed)
# - Energy of formation from the pure elements: -1.02 eV per formula unit
# - Energy above the most stable polymorph in this dataset: 0.000 eV per atom
data_NdDyHg
_chemical_formula_sum 'Nd4 Dy4 Hg4'
_cell_length_a 7.369
_cell_length_b 5.128
_cell_length_c 9.357
_cell_angle_alpha 90.00
_cell_angle_beta 90.00
_cell_angle_gamma 90.00
_space_group_name_H-M_alt 'P n m a'
_space_group_IT_number 62
loop_
_space_group_symop_operation_xyz
'x,y,z'
'-x,-y,-z'
'-x+1/2,-y,z+1/2'
'x+1/2,y,-z+1/2'
'x+1/2,-y+1/2,-z+1/2'
'-x+1/2,y+1/2,z+1/2'
'-x,y+1/2,-z'
'x,-y+1/2,z'
loop_
_atom_site_label
_atom_site_fract_x
_atom_site_fract_y
_atom_site_fract_z
Nd1 0.015 0.250 0.189
Dy1 0.163 0.250 0.574
Hg1 0.249 0.250 0.896

***

| no. | size of the total moment (μB/f.u.) | electronic total energy (eV/cell) |
| --- | --- | --- |
| 1 | 0.00 | -16.1 |
| 2 | 0.00 | -87.5 |
| 3 | 3.14 | -82.8 |
| 4 | 3.00 | -61.0 |
| 5 | 11.00 | -627.9 |
| 6 | 0.00 | -42.8 |